No. 1
# LiAcCdF6

A geometry-optimized LiAcCdF6 structure (PBE-GGA, the Alexandria database).

Values from the calculation:
- calculated volume (A^3/atom) = 16.037
- total moment (μB/f.u.) = 0.00
- ΔE_f (raw) (kJ per mole of atoms) = -309.07

abc: 5.5609 5.5609 5.3896
angles: 90.00 90.00 120.00
With the nearest neighbours (Å) after each atom.
Fractional coordinates of all 9 atoms:
Li1 0.0000 0.0000 0.0000  6 F 2.11
Ac1 0.3333 0.6667 0.5000  6 F 2.45
Cd1 0.6667 0.3333 0.0000  6 F 2.25
F1 0.3137 0.0070 0.2261  1 Li 2.11, 1 Cd 2.25
F2 0.3137 0.3068 0.7739  1 Li 2.11, 1 Cd 2.25
F3 0.6932 0.0070 0.7739  1 Li 2.11, 1 Cd 2.25
F4 0.6932 0.6863 0.2261  1 Li 2.11, 1 Cd 2.25
F5 0.9930 0.3068 0.2261  1 Li 2.11, 1 Cd 2.25
F6 0.9930 0.6863 0.7739  1 Li 2.11, 1 Cd 2.25

---

No. 2
# Li3Ac2CdF12

A geometry-optimized Li3Ac2CdF12 structure (PBE-GGA, the Alexandria database).

Values from the calculation:
- calculated volume (A^3/atom) = 13.453
- total moment (μB/f.u.) = 1.23
- ΔE_f (raw) (kJ per mole of atoms) = -293.50

abc: 7.3382 7.3382 7.3382
angles: 54.28 54.28 54.28
With the nearest neighbours (Å) after each atom.
Fractional coordinates of all 18 atoms:
Li1 0.0000 0.5000 0.5000  4 F 1.98
Li2 0.5000 0.0000 0.5000  4 F 1.98
Li3 0.5000 0.5000 0.0000  4 F 1.98
Ac1 0.1082 0.1082 0.1082  6 F 2.44-2.50
Ac2 0.8918 0.8918 0.8918  6 F 2.44-2.50
Cd1 0.5000 0.5000 0.5000  6 F 2.36
F1 0.0740 0.6547 0.6547  1 Cd 2.36, 1 Li 2.41, 1 Ac 2.44, 2 F 2.64
F2 0.2223 0.2223 0.6705  2 Li 1.98
F3 0.2223 0.6705 0.2223  2 Li 1.98
F4 0.3295 0.7777 0.7777  2 Li 1.98
F5 0.3453 0.3453 0.9260  1 Cd 2.36, 1 Li 2.41, 1 Ac 2.44, 2 F 2.64
F6 0.3453 0.9260 0.3453  1 Cd 2.36, 1 Li 2.41, 1 Ac 2.44, 2 F 2.64
F7 0.6547 0.0740 0.6547  1 Cd 2.36, 1 Li 2.41, 1 Ac 2.44, 2 F 2.64
F8 0.6547 0.6547 0.0740  1 Cd 2.36, 1 Li 2.41, 1 Ac 2.44, 2 F 2.64
F9 0.6705 0.2223 0.2223  2 Li 1.98
F10 0.7777 0.3295 0.7777  2 Li 1.98
F11 0.7777 0.7777 0.3295  2 Li 1.98
F12 0.9260 0.3453 0.3453  1 Cd 2.36, 1 Li 2.41, 1 Ac 2.44, 2 F 2.64